# Rb2CaPd GGA-PBE relaxed
# Final energy (eV per atom): -2.203
# Total moment (μB/atom): 0.000
# Formation energy (eV/atom): 0.08
# Polymorph energy (0 for the lowest one) (eV/f.u.): 0.000
data_Rb2CaPd
_chemical_formula_sum 'Rb4 Ca2 Pd2'
_symmetry_space_group_name_H-M 'P 1'
_symmetry_Int_Tables_number 1
_cell_length_a 12.998
_cell_length_b 12.998
_cell_length_c 9.582
_cell_angle_alpha 47.29
_cell_angle_beta 47.29
_cell_angle_gamma 90.00
loop_
_symmetry_equiv_pos_as_xyz
'x,y,z'
loop_
_atom_site_label
_atom_site_type_symbol
_atom_site_fract_x
_atom_site_fract_y
_atom_site_fract_z
_atom_site_occupancy
Ca1 Ca 0.250 0.750 0.500 1
Ca2 Ca 0.500 0.500 0.000 1
Pd1 Pd 0.000 0.000 0.000 1
Pd2 Pd 0.750 0.250 0.500 1
Rb1 Rb 0.775 0.125 0.250 1
Rb2 Rb 0.375 0.225 0.750 1
Rb3 Rb 0.975 0.625 0.250 1
Rb4 Rb 0.875 0.025 0.750 1